Arrangement one

A relaxed TbY5Tm3 crystal, computed with PBE.

Lattice parameters (Å, degrees): 16.0553 6.6502 11.6823 90.00 108.32 90.00
Space group C2/c (No. 15)
Unique sites:
1 Tb 0.0000 0.1924 0.2500 [4 per cell]
2 Y 0.0000 0.3000 0.7500 [4 per cell]
3 Y 0.1834 0.4456 0.4503 [8 per cell]
4 Y 0.2167 0.1947 0.7654 [8 per cell]
5 Tm 0.0000 0.5000 0.0000 [4 per cell]
6 Tm 0.1068 0.0520 0.0131 [8 per cell]

Results
Spin magnetization   0.00 μB/f.u.

***

Arrangement two

A relaxed TbY5Tm3 crystal, computed with PBE.

Lattice parameters (Å, degrees): 8.8920 8.8920 14.6661 90.00 90.00 90.00
Space group I4/mcm (No. 140)
Unique sites:
1 Tb 0.0000 0.5000 0.2500 [4 per cell]
2 Y 0.0000 0.0000 0.0000 [4 per cell]
3 Y 0.2027 0.2973 0.1322 [16 per cell]
4 Tm 0.0000 0.0000 0.2500 [4 per cell]
5 Tm 0.1126 0.3874 0.5000 [8 per cell]

Results
Spin magnetization   0.00 μB/f.u.

***

Bottom line: arrangement one, by a margin of 83 meV/atom.

***

Arrangement one

A relaxed TbY2Tm6 crystal, computed with PBE.

Lattice parameters (Å, degrees): 3.5662 3.5662 25.6639 90.00 90.00 120.00
Space group P-6m2 (No. 187)
Unique sites:
1 Tb 0.0000 0.0000 0.0000 [1 per cell]
2 Y 0.3333 0.6667 0.3267 [2 per cell]
3 Tm 0.0000 0.0000 0.2165 [2 per cell]
4 Tm 0.0000 0.0000 0.4352 [2 per cell]
5 Tm 0.3333 0.6667 0.1094 [2 per cell]

Results
Spin magnetization   1.03 μB/f.u.

***

Arrangement two

A relaxed TbY2Tm6 crystal, computed with PBE.

Lattice parameters (Å, degrees): 12.6859 13.9929 6.4848 90.00 103.40 90.00
Space group C2/c (No. 15)
Unique sites:
1 Tb 0.0000 0.1203 0.2500 [4 per cell]
2 Y 0.1425 0.4747 0.3711 [8 per cell]
3 Tm 0.0347 0.3135 0.0001 [8 per cell]
4 Tm 0.1328 0.0875 0.8172 [8 per cell]
5 Tm 0.2401 0.2978 0.7323 [8 per cell]

Results
Spin magnetization   0.00 μB/f.u.

***

Bottom line: arrangement one, by a margin of 60 meV/atom.

***

Arrangement one

A relaxed Tb2Y5Tm3 crystal, computed with PBE.

Lattice parameters (Å, degrees): 10.6686 15.8829 9.3635 90.00 124.56 90.00
Space group C2/c (No. 15)
Unique sites:
1 Tb 0.1430 0.1206 0.0449 [8 per cell]
2 Y 0.0000 0.2311 0.2500 [4 per cell]
3 Y 0.0000 0.2714 0.7500 [4 per cell]
4 Y 0.0000 0.4702 0.7500 [4 per cell]
5 Y 0.2413 0.3872 0.2347 [8 per cell]
6 Tm 0.0000 0.0286 0.2500 [4 per cell]
7 Tm 0.1543 0.3809 0.5488 [8 per cell]

Results
Spin magnetization   0.00 μB/f.u.

***

Arrangement two

A relaxed Tb2Y5Tm3 crystal, computed with PBE.

Lattice parameters (Å, degrees): 9.2741 21.9150 6.7222 90.00 90.00 90.00
Space group Ibam (No. 72)
Unique sites:
1 Tb 0.0949 0.1195 0.0000 [8 per cell]
2 Y 0.0000 0.2451 0.2500 [8 per cell]
3 Y 0.0000 0.5000 0.2500 [4 per cell]
4 Y 0.0912 0.3710 0.5000 [8 per cell]
5 Tm 0.0000 0.0000 0.2500 [4 per cell]
6 Tm 0.2479 0.1211 0.5000 [8 per cell]

Results
Spin magnetization   0.00 μB/f.u.

***

Bottom line: arrangement one, by a margin of 237 meV/atom.

***

Arrangement one

A relaxed Tb4Y3Tm crystal, computed with PBE.

Lattice parameters (Å, degrees): 11.2742 7.2789 6.2950 90.00 90.00 90.00
Space group Pmn2_1 (No. 31)
Unique sites:
1 Tb 0.0000 0.1241 0.0000 [2 per cell]
2 Tb 0.0000 0.8751 0.4978 [2 per cell]
3 Tb 0.2486 0.8749 0.8297 [4 per cell]
4 Y 0.0000 0.3748 0.4951 [2 per cell]
5 Y 0.2496 0.3750 0.8307 [4 per cell]
6 Tm 0.0000 0.6252 0.9956 [2 per cell]

Results
Spin magnetization   0.00 μB/f.u.

***

Arrangement two

A relaxed Tb4Y3Tm crystal, computed with PBE.

Lattice parameters (Å, degrees): 23.4238 3.4818 6.6702 90.00 106.46 90.00
Space group C2/m (No. 12)
Unique sites:
1 Tb 0.1240 0.0000 0.3676 [4 per cell]
2 Tb 0.2396 0.5000 0.2409 [4 per cell]
3 Y 0.0000 0.0000 0.5000 [2 per cell]
4 Y 0.1242 0.0000 0.8817 [4 per cell]
5 Tm 0.0000 0.5000 0.0000 [2 per cell]

Results
Spin magnetization   0.00 μB/f.u.

***

Bottom line: arrangement one, by a margin of 162 meV/atom.

***

Arrangement one

A relaxed Tb4Y2Tm crystal, computed with PBE.

Lattice parameters (Å, degrees): 3.5847 3.5847 20.0290 90.00 90.00 120.00
Space group P3m1 (No. 156)
Unique sites:
1 Tb 0.0000 0.0000 0.0000 [1 per cell]
2 Tb 0.0000 0.0000 0.2808 [1 per cell]
3 Tb 0.6667 0.3333 0.4255 [1 per cell]
4 Tb 0.6667 0.3333 0.7122 [1 per cell]
5 Y 0.3333 0.6667 0.5694 [1 per cell]
6 Y 0.3333 0.6667 0.8560 [1 per cell]
7 Tm 0.3333 0.6667 0.1400 [1 per cell]

Results
Spin magnetization   0.00 μB/f.u.

***

Arrangement two

A relaxed Tb4Y2Tm crystal, computed with PBE.

Lattice parameters (Å, degrees): 6.2338 6.5051 11.4540 90.00 105.33 90.00
Space group P2_1/m (No. 11)
Unique sites:
1 Tb 0.0416 0.2500 0.3657 [2 per cell]
2 Tb 0.1425 0.2500 0.9492 [2 per cell]
3 Tb 0.3420 0.5063 0.2138 [4 per cell]
4 Y 0.2944 0.7500 0.9221 [2 per cell]
5 Y 0.3853 0.7500 0.5061 [2 per cell]
6 Tm 0.1616 0.2500 0.6661 [2 per cell]

Results
Spin magnetization   0.00 μB/f.u.

***

Bottom line: arrangement one, by a margin of 124 meV/atom.

***

Arrangement one

A relaxed Tb7Y3Tm2 crystal, computed with PBE.

Lattice parameters (Å, degrees): 6.5005 6.5005 33.0845 90.00 90.00 120.00
Space group R-3m (No. 166, hexagonal axes)
Unique sites:
1 Tb 0.0000 0.0000 0.0000 [3 per cell]
2 Tb 0.0043 0.5021 0.4156 [18 per cell]
3 Y 0.0000 0.0000 0.3487 [6 per cell]
4 Y 0.0000 0.0000 0.5000 [3 per cell]
5 Tm 0.0000 0.0000 0.1663 [6 per cell]

Results
Spin magnetization   0.00 μB/f.u.

***

Arrangement two

A relaxed Tb7Y3Tm2 crystal, computed with PBE.

Lattice parameters (Å, degrees): 5.7794 3.5746 18.6397 90.00 93.60 90.00
Space group P2/m (No. 10)
Unique sites:
1 Tb 0.0000 0.0000 0.0000 [1 per cell]
2 Tb 0.1854 0.5000 0.1802 [2 per cell]
3 Tb 0.2578 0.5000 0.5362 [2 per cell]
4 Tb 0.3161 0.0000 0.8551 [2 per cell]
5 Y 0.2197 0.0000 0.3670 [2 per cell]
6 Y 0.5000 0.5000 0.0000 [1 per cell]
7 Tm 0.2920 0.5000 0.7048 [2 per cell]

Results
Spin magnetization   0.00 μB/f.u.

***

Bottom line: arrangement two, by a margin of 188 meV/atom.